# 1
TlTc2Hg | PBE-GGA | optimized geometry

Summary:
E_form   66.6 kJ/mol of atoms
M_tot   0.00 Bohr magnetons per cell
DFT total energy   -5.16 eV per atom
Energy above the lowest structure with this stoichiometry   391.4 meV per atom
Density   12.89 Mg/m³

a = 5.195 Å, b = 5.195 Å, c = 5.070 Å
α = 75.94°, β = 75.94°, γ = 35.82°
Positions (direct):
Hg: 0.733 0.733 0.770
Tc: 0.969 0.969 0.031
Tc: 0.285 0.285 0.211
Tl: 0.513 0.513 0.487



# 2
TlTc2Hg | PBE-GGA | optimized geometry

Summary:
E_form   85.1 kJ/mol of atoms
M_tot   3.68 Bohr magnetons per cell
DFT total energy   -4.97 eV per atom
Energy above the lowest structure with this stoichiometry   583.5 meV per atom
Density   13.51 Mg/m³

a = 3.018 Å, b = 3.018 Å, c = 8.107 Å
α = 90.00°, β = 90.00°, γ = 90.00°
Site moments in Bohr magnetons follow the coordinates.
Positions (direct):
Hg: 0.500 0.500 0.750  0.00
Tc: 0.000 0.000 0.997  1.71
Tc: 0.000 0.000 0.503  1.71
Tl: 0.500 0.500 0.250  -0.03



Repeat the second record exactly.
TlTc2Hg | PBE-GGA | optimized geometry

Summary:
E_form   85.1 kJ/mol of atoms
M_tot   3.68 Bohr magnetons per cell
DFT total energy   -4.97 eV per atom
Energy above the lowest structure with this stoichiometry   583.5 meV per atom
Density   13.51 Mg/m³

a = 3.018 Å, b = 3.018 Å, c = 8.107 Å
α = 90.00°, β = 90.00°, γ = 90.00°
Site moments in Bohr magnetons follow the coordinates.
Positions (direct):
Hg: 0.500 0.500 0.750  0.00
Tc: 0.000 0.000 0.997  1.71
Tc: 0.000 0.000 0.503  1.71
Tl: 0.500 0.500 0.250  -0.03



- Number 2 is which compound?
  TlTc2Hg



- The lowest M_tot belongs to which entry?
  number 1